Record 1
DFT (PBE-GGA) results for an optimized crystal structure of CsAu2I4.

Unit cell a=8.5947 b=8.5906 c=12.3584 alpha=99.60 beta=102.91 gamma=115.57
Last column: nearest neighbours and their distance in Å.
Sites, in units of the cell vectors:
I1 0.3223 0.0698 0.7476  1 Au 2.77
Cs1 0.1225 0.6220 0.5002  6 I 3.88-4.14, 2 Au 4.03-4.05
Au1 0.6250 0.3749 0.2500  2 I 2.59
I2 0.9278 0.1759 0.2482  1 Au 2.77
Au2 0.6250 0.3751 0.7500  4 I 2.77-2.78
I3 0.7851 0.1577 0.7193  2 Au 2.59-2.78
I4 0.8129 0.6853 0.2202  2 Au 2.59-2.78
Au3 0.1251 0.3750 0.7500  2 I 2.59
I5 0.4650 0.5926 0.7808  2 Au 2.59-2.78
I6 0.4370 0.0646 0.2799  2 Au 2.59-2.78
I7 0.9277 0.6804 0.7523  1 Au 2.77
Cs2 0.1276 0.1279 0.9998  6 I 3.88-4.14, 2 Au 4.03-4.05
Au4 0.6250 0.8750 0.2500  4 I 2.77-2.78
I8 0.3220 0.5740 0.2517  1 Au 2.77

Output
**Calculated volume**: 382.75 Å³/f.u.
**DFT total energy**: -2.40 eV/atom
**Formation energy without anion corrections**: -0.453 eV per atom
**Space group**: P-1

***

Record 2
DFT (PBE-GGA) results for an optimized crystal structure of AcPm2SmAs4.

Unit cell a=4.3156 b=7.4728 c=7.4730 alpha=70.61 beta=90.00 gamma=90.00
Last column: nearest neighbours and their distance in Å.
Sites, in units of the cell vectors:
As1 0.0000 0.7602 0.7387  3 Pm 2.99-3.06, 1 Sm 3.04, 2 Ac 3.12
As2 0.5000 0.7543 0.2560  3 Pm 2.99-3.06, 2 Sm 3.05, 1 Ac 3.11
Ac1 0.5000 0.5000 0.0000  6 As 3.11-3.12
Sm1 0.0000 0.5000 0.5000  6 As 3.04-3.05
As3 0.5000 0.2457 0.7440  3 Pm 2.99-3.06, 2 Sm 3.05, 1 Ac 3.11
As4 0.0000 0.2398 0.2613  3 Pm 2.99-3.06, 1 Sm 3.04, 2 Ac 3.12
Pm1 0.0000 0.0000 0.0000  6 As 3.06
Pm2 0.5000 0.0000 0.5000  6 As 2.99

Output
**Energy of formation from the pure elements**: -143.66 kJ/mol of atoms
**Calculated volume**: 227.33 Å³/f.u.
**DFT total energy**: -6.10 eV/atom
**Space group**: P2/m

***

> What is the formula in the first record?

CsAu2I4

***

> What is the formula in the second record?

AcPm2SmAs4

***

> Among the records above, which one has the highest calculated volume?

CsAu2I4

***

> Look up the DFT total energy of the first one.

-2.40 eV/atom